# 1
Material: SrTe5
Method: DFT, GGA-PBE
State: optimized geometry

Properties
Energy above the lowest structure with this stoichiometry   0 meV/atom
M_tot   0.0 μB/cell
Total energy   -3.341 eV per atom

The structure in extended XYZ format:
```
6
Lattice="5.918 -2.248 0.000 5.918 2.248 0.000 -2.960 0.000 9.005" Properties=species:S:1:pos:R:3 pbc="T T T"
Sr 0.000 0.000 0.000
Te -0.199 0.000 3.391
Te 2.288 0.000 6.620
Te 4.242 0.000 2.232
Te 5.072 0.000 6.777
Te 8.404 0.000 0.584
```

***

# 2
Material: LaTa3Pb
Method: DFT, GGA-PBE
State: optimized geometry

Properties
Energy above the lowest structure with this stoichiometry   316 meV/atom
DFT formation energy   10.677 eV/f.u.
M_tot   0.0 μB/cell
Total energy   -6.703 eV per atom

The structure in extended XYZ format:
```
5
Lattice="5.032 0.000 0.000 0.000 5.032 0.000 0.000 0.000 5.032" Properties=species:S:1:pos:R:3 pbc="T T T"
La 0.000 0.000 0.000
Ta 0.000 0.000 2.516
Ta 0.000 2.516 0.000
Ta 2.516 0.000 0.000
Pb 2.516 2.516 2.516
```

***

# 3
Material: Co2SbAs2
Method: DFT, GGA-PBE
State: optimized geometry

Properties
Energy above the lowest structure with this stoichiometry   0 meV/atom
M_tot   0.5 μB/cell
Total energy   -5.480 eV per atom

The structure in extended XYZ format:
```
5
Lattice="-2.096 2.096 4.691 2.096 -2.096 4.691 2.096 2.096 -4.691" Properties=species:S:1:pos:R:3 pbc="T T T"
Co 2.096 0.000 2.345
Co 0.000 2.096 2.345
Sb 0.000 0.000 0.000
As 0.000 0.000 3.420
As 0.000 0.000 5.962
```

***

# 4
Material: Li3Ga11
Method: DFT, GGA-PBE
State: optimized geometry

Properties
DFT formation energy   -1.933 eV/f.u.
M_tot   0.0 μB/cell
Total energy   -2.926 eV per atom

The structure in extended XYZ format:
```
14
Lattice="-2.121 5.128 5.929 2.121 -5.128 5.929 2.121 5.128 -5.929" Properties=species:S:1:pos:R:3 pbc="T T T"
Li 0.000 0.000 0.000
Li 0.000 0.000 3.434
Li 0.000 0.000 8.424
Ga 2.121 -1.264 1.636
Ga 2.121 -2.261 4.088
Ga 2.121 1.264 1.636
Ga 2.121 3.383 0.000
Ga 0.000 2.867 1.841
Ga 0.000 5.128 0.000
Ga 2.121 2.261 4.088
Ga 0.000 1.745 5.929
Ga 0.000 3.864 4.293
Ga 0.000 7.389 1.841
Ga 0.000 6.392 4.293
```

***

# 5
Material: Al2PbAu
Method: DFT, GGA-PBE
State: optimized geometry

Properties
DFT formation energy   0.150 eV/f.u.
M_tot   0.0 μB/cell
Total energy   -3.580 eV per atom

The structure in extended XYZ format:
```
4
Lattice="1.744 1.007 8.324 -1.744 1.007 8.324 0.000 -2.013 8.324" Properties=species:S:1:pos:R:3 pbc="T T T"
Al 0.000 0.000 0.000
Al 0.000 0.000 6.341
Pb 0.000 0.000 18.959
Au 0.000 0.000 13.052
```

***

# 6
Material: PaGa4Mo
Method: DFT, GGA-PBE
State: optimized geometry

Properties
DFT formation energy   0.248 eV/f.u.
M_tot   0.9 μB/cell
Total energy   -5.364 eV per atom

The structure in extended XYZ format:
```
6
Lattice="0.000 3.762 3.762 3.762 0.000 3.762 3.762 3.762 0.000" Properties=species:S:1:pos:R:3 pbc="T T T"
Pa 0.000 0.000 0.000
Ga 4.697 2.828 2.828
Ga 2.828 4.697 2.828
Ga 2.828 2.828 4.697
Ga 4.697 4.697 4.697
Mo 1.881 1.881 1.881
```

***

# 7
Material: Li2CeSeS2
Method: DFT, GGA-PBE
State: optimized geometry

Properties
M_tot   0.1 μB/cell
Total energy   -5.006 eV per atom

The structure in extended XYZ format:
```
6
Lattice="4.198 0.000 0.000 -2.099 3.636 0.000 0.000 0.000 8.259" Properties=species:S:1:pos:R:3 pbc="T T T"
Li 0.000 2.424 0.907
Li 2.099 1.212 7.352
Ce 0.000 0.000 4.129
Se 0.000 0.000 0.000
S 0.000 2.424 5.430
S 2.099 1.212 2.829
```

***

# 8
Material: RbPtN3
Method: DFT, GGA-PBE
State: optimized geometry

Properties
M_tot   2.3 μB/cell
Total energy   -2.551 eV per atom

The structure in extended XYZ format:
```
5
Lattice="4.247 0.000 0.000 0.000 4.247 0.000 0.000 0.000 4.247" Properties=species:S:1:pos:R:3 pbc="T T T"
Rb 0.000 0.000 0.000
Pt 2.123 2.123 2.123
N 0.000 0.000 2.123
N 0.000 2.123 0.000
N 2.123 0.000 0.000
```

***

# 9
Material: Fe2Rh3
Method: DFT, GGA-PBE
State: optimized geometry

Properties
Energy above the lowest structure with this stoichiometry   10 meV/atom
DFT formation energy   0.019 eV/f.u.
M_tot   6.0 μB/cell
Total energy   -7.792 eV per atom

The structure in extended XYZ format:
```
5
Lattice="4.426 -1.354 0.000 4.426 1.354 0.000 -3.287 0.000 5.601" Properties=species:S:1:pos:R:3 pbc="T T T"
Fe -0.416 0.000 2.245
Fe 5.980 0.000 3.356
Rh 1.993 0.000 1.192
Rh 4.426 0.000 0.000
Rh 3.571 0.000 4.408
```

***

# 10
Material: PrNd3Sn
Method: DFT, GGA-PBE
State: optimized geometry

Properties
Energy above the lowest structure with this stoichiometry   217 meV/atom
DFT formation energy   -0.265 eV/f.u.
M_tot   0.0 μB/cell
Total energy   -4.670 eV per atom

The structure in extended XYZ format:
```
5
Lattice="5.705 0.000 0.000 0.000 4.820 3.258 0.000 -4.820 3.258" Properties=species:S:1:pos:R:3 pbc="T T T"
Pr 0.000 0.000 0.000
Nd 0.000 0.000 3.098
Nd 2.852 -1.710 4.790
Nd 2.852 1.710 4.790
Sn 2.852 0.000 1.567
```

***

# 11
Material: InReBi2
Method: DFT, GGA-PBE
State: optimized geometry

Properties
Energy above the lowest structure with this stoichiometry   0 meV/atom
DFT formation energy   3.715 eV/f.u.
M_tot   0.0 μB/cell
Total energy   -4.808 eV per atom

The structure in extended XYZ format:
```
8
Lattice="-3.314 3.314 6.606 3.314 -3.314 6.606 3.314 3.314 -6.606" Properties=species:S:1:pos:R:3 pbc="T T T"
In 0.000 0.000 0.000
In 0.000 3.314 3.303
Re 3.314 0.000 3.303
Re 0.000 0.000 6.606
Bi 1.657 -1.250 4.954
Bi 2.064 1.657 1.651
Bi 1.657 4.564 -1.651
Bi 1.250 1.657 8.257
```

***

# 12
Material: Mg4O
Method: DFT, GGA-PBE
State: optimized geometry

Properties
M_tot   0.0 μB/cell
Total energy   -3.056 eV per atom

The structure in extended XYZ format:
```
5
Lattice="4.424 0.000 0.000 0.000 4.424 0.000 0.000 0.000 4.424" Properties=species:S:1:pos:R:3 pbc="T T T"
Mg 0.000 0.000 0.000
Mg 0.000 2.212 2.212
Mg 2.212 0.000 2.212
Mg 2.212 2.212 0.000
O 2.212 2.212 2.212
```

***

Which formula does entry 4 have?
Li3Ga11